# 1
Material: Na3GaNi2O6
Method: DFT, PBE+U
State: optimized geometry

Cell: 5.372 8.718 5.679 Å, 90.00 110.26 90.00°
Space group C2/m (No. 12)
Asymmetric unit:
1 Na 0.000 0.000 0.000 [2 per cell]
2 Na 0.000 0.331 0.000 [4 per cell]
3 Ga 0.000 0.500 0.500 [2 per cell]
4 Ni 0.000 0.168 0.500 [4 per cell]
5 O 0.216 0.330 0.700 [8 per cell]
6 O 0.218 0.000 0.692 [4 per cell]

Volume ... 249.5 Å³ per cell
Crystal system ... monoclinic
Total DFT energy (no corrections) ... -4.835 eV per atom

=====

# 2
Material: Na2GaNiO4
Method: DFT, PBE+U
State: optimized geometry

Cell: 5.341 2.939 5.694 Å, 90.00 109.89 90.00°
Space group P2/m (No. 10)
Asymmetric unit:
1 Na 0.000 0.000 0.000 [1 per cell]
2 Na 0.500 0.500 0.000 [1 per cell]
3 Ga 0.000 0.500 0.500 [1 per cell]
4 Ni 0.500 0.000 0.500 [1 per cell]
5 O 0.220 0.000 0.707 [2 per cell]
6 O 0.281 0.500 0.312 [2 per cell]

Volume ... 84.0 Å³ per cell
Crystal system ... monoclinic
Total DFT energy (no corrections) ... -4.964 eV per atom